# 1
A plane-wave DFT calculation with PBE was carried out for a geometry-optimized AlCo6Mo structure. Values from VASP.

V: 367.0 Å³/cell
Energy of formation: -0.11 eV/atom
Raw total energy: -7.261 eV per atom

Geometry as Quantum ESPRESSO input:
```
&SYSTEM
  ibrav = 0, nat = 32, ntyp = 3
/
ATOMIC_SPECIES
Co 58.93 Co.upf
Al 26.98 Al.upf
Mo 95.94 Mo.upf
CELL_PARAMETERS angstrom
6.2006 -0.0047 0.0000
-2.0729 5.8439 0.0000
0.0000 0.0000 10.1315
ATOMIC_POSITIONS angstrom
Co 2.0639 2.9196 7.5987
Co -0.0056 4.3825 5.0630
Co 0.0121 2.2117 6.3356
Co 0.0000 0.0000 2.5329
Co 0.0000 0.0000 7.5987
Co 4.1157 3.6274 8.8617
Al 2.0639 2.9196 0.0190
Co 4.1334 1.4566 5.0630
Mo 0.0000 0.0000 10.0895
Co -0.0056 4.3825 0.0028
Co 2.0810 0.7492 8.8617
Al -0.0516 4.4150 7.5987
Mo 0.0000 0.0000 5.1078
Co 2.0655 0.7293 3.7958
Co 2.0655 0.7293 1.2699
Co 2.0468 5.0899 8.8617
Co 2.0639 2.9196 2.5329
Mo -0.0352 4.4034 2.5329
Co 0.0121 2.2117 8.8617
Co 2.0468 5.0899 6.3356
Co 2.0623 5.1099 1.2699
Al 2.0639 2.9196 5.0468
Co 2.0623 5.1099 3.7958
Co 2.0810 0.7492 6.3356
Mo 4.1630 1.4357 2.5329
Co 4.1292 3.6487 3.7958
Al 4.1794 1.4241 7.5987
Co -0.0015 2.1904 1.2699
Co 4.1157 3.6274 6.3356
Co -0.0015 2.1904 3.7958
Co 4.1334 1.4566 0.0028
Co 4.1292 3.6487 1.2699
```

# 2
A plane-wave DFT calculation with PBE was carried out for a geometry-optimized Al2Co3Mo structure. Values from VASP.

V: 72.3 Å³/cell
Energy of formation: -0.40 eV/atom
Raw total energy: -7.001 eV per atom

Geometry as Quantum ESPRESSO input:
```
&SYSTEM
  ibrav = 0, nat = 6, ntyp = 3
/
ATOMIC_SPECIES
Mo 95.94 Mo.upf
Al 26.98 Al.upf
Co 58.93 Co.upf
CELL_PARAMETERS angstrom
-2.5034 0.9856 -0.6540
0.3299 -0.8883 -2.6016
-3.8689 -8.2773 2.3355
ATOMIC_POSITIONS angstrom
Mo -3.0212 -4.0900 -0.4600
Al -4.3506 -6.9342 0.3425
Co -1.2179 -2.6057 0.7352
Co -2.6510 -5.6716 1.6003
Co 0.0000 0.0000 0.0000
Al -1.6918 -1.2458 -1.2626
```

# 3
A plane-wave DFT calculation with PBE was carried out for a geometry-optimized Al2CoMo structure. Values from VASP.

V: 56.6 Å³/cell
Energy of formation: -0.13 eV/atom
Raw total energy: -6.487 eV per atom

Geometry as Quantum ESPRESSO input:
```
&SYSTEM
  ibrav = 0, nat = 4, ntyp = 3
/
ATOMIC_SPECIES
Al 26.98 Al.upf
Co 58.93 Co.upf
Mo 95.94 Mo.upf
CELL_PARAMETERS angstrom
-0.5068 -7.4315 4.1120
2.2490 -6.9909 4.2968
0.5198 -5.8375 6.1682
ATOMIC_POSITIONS angstrom
Al 1.1476 -10.2781 7.3950
Co 0.5655 -5.0650 3.6442
Al 2.2455 -20.1118 14.4703
Mo 1.6965 -15.1949 10.9327
```

# 4
A plane-wave DFT calculation with PBE was carried out for a geometry-optimized Al2CoMo structure. Values from VASP.

V: 56.2 Å³/cell
Energy of formation: -0.13 eV/atom
Raw total energy: -6.487 eV per atom

Geometry as Quantum ESPRESSO input:
```
&SYSTEM
  ibrav = 0, nat = 4, ntyp = 3
/
ATOMIC_SPECIES
Mo 95.94 Mo.upf
Al 26.98 Al.upf
Co 58.93 Co.upf
CELL_PARAMETERS angstrom
4.8444 0.0001 -0.0012
-1.8601 4.4731 -0.0012
0.3907 0.5856 2.5948
ATOMIC_POSITIONS angstrom
Mo -0.7347 2.5294 1.2968
Al 1.4922 2.2366 -0.0012
Co 2.6176 0.2928 1.2968
Al 0.0000 0.0000 0.0000
```

# 5
A plane-wave DFT calculation with PBE was carried out for a geometry-optimized AlCo2Mo structure. Values from VASP.

V: 50.3 Å³/cell
Energy of formation: -0.15 eV/atom
Raw total energy: -7.350 eV per atom

Geometry as Quantum ESPRESSO input:
```
&SYSTEM
  ibrav = 0, nat = 4, ntyp = 3
/
ATOMIC_SPECIES
Co 58.93 Co.upf
Al 26.98 Al.upf
Mo 95.94 Mo.upf
CELL_PARAMETERS angstrom
6.1301 0.2344 0.7224
-2.6256 3.4676 -0.1805
0.8789 0.7892 2.4319
ATOMIC_POSITIONS angstrom
Co 3.5045 0.5118 1.5771
Al 1.7522 1.8510 0.2709
Mo -0.8734 2.1284 1.1257
Co 0.0000 0.0000 0.0000
```

# 6
A plane-wave DFT calculation with PBE was carried out for a geometry-optimized Al2CoMo structure. Values from VASP.

V: 55.5 Å³/cell
Energy of formation: -0.20 eV/atom
Raw total energy: -6.559 eV per atom

Geometry as Quantum ESPRESSO input:
```
&SYSTEM
  ibrav = 0, nat = 4, ntyp = 3
/
ATOMIC_SPECIES
Al 26.98 Al.upf
Mo 95.94 Mo.upf
Co 58.93 Co.upf
CELL_PARAMETERS angstrom
5.1984 0.0006 -0.0005
2.6453 4.4750 0.0005
-3.4410 -3.0806 2.3860
ATOMIC_POSITIONS angstrom
Al 2.6350 -0.5379 1.1928
Al 0.0311 0.0177 0.0000
Mo 1.7064 1.8978 1.1932
Co 3.9523 2.2551 0.0000
```

# 7
A plane-wave DFT calculation with PBE was carried out for a geometry-optimized Al2CoMo structure. Values from VASP.

V: 55.5 Å³/cell
Energy of formation: -0.15 eV/atom
Raw total energy: -6.510 eV per atom

Geometry as Quantum ESPRESSO input:
```
&SYSTEM
  ibrav = 0, nat = 4, ntyp = 3
/
ATOMIC_SPECIES
Al 26.98 Al.upf
Mo 95.94 Mo.upf
Co 58.93 Co.upf
CELL_PARAMETERS angstrom
-0.9631 2.2985 3.1009
-1.3016 -2.0920 1.1464
3.8819 -2.1119 2.7711
ATOMIC_POSITIONS angstrom
Al 1.3365 -1.9066 1.8283
Al -0.0463 -0.1954 0.1305
Mo 1.4537 -2.0037 4.4886
Co 0.1635 0.0983 2.5298
```

# 8
A plane-wave DFT calculation with PBE was carried out for a geometry-optimized AlCoMo structure. Values from VASP.

V: 39.7 Å³/cell
Energy of formation: -0.28 eV/atom
Raw total energy: -7.502 eV per atom

Geometry as Quantum ESPRESSO input:
```
&SYSTEM
  ibrav = 0, nat = 3, ntyp = 3
/
ATOMIC_SPECIES
Al 26.98 Al.upf
Mo 95.94 Mo.upf
Co 58.93 Co.upf
CELL_PARAMETERS angstrom
5.4574 -0.0084 0.0090
4.7471 2.6922 0.0184
0.7103 0.1773 2.6948
ATOMIC_POSITIONS angstrom
Al 10.0625 2.6463 0.0673
Mo 7.1142 1.8679 0.8956
Co 3.9428 1.0307 1.7866
```

- Which value of energy of formation does entry 7 give?
  -0.15 eV/atom